Compound: K2Sb2Pt
Source: the Alexandria database
Functional: PBE
Structure: optimized geometry

Calculated values
E_form (uncorrected), eV/atom: 0.129
Magnetic moment, μB/cell: 0.99

Cell lengths 4.159, 4.159, 20.637 Å; angles 90.00, 90.00, 90.00 degrees
Space group I4/mmm (No. 139)
Unique sites:
1 K 0.000 0.000 0.087 [4 per cell]
2 Sb 0.000 0.500 0.250 [4 per cell]
3 Pt 0.000 0.000 0.500 [2 per cell]

***

Compound: HfCrFeMo
Source: the Alexandria database
Functional: PBE
Structure: optimized geometry

Calculated values
ΔE_f, eV/atom: 0.01
Magnetic moment, μB/cell: 0.43

Cell lengths 6.143, 6.143, 6.143 Å; angles 90.00, 90.00, 90.00 degrees
Space group F-43m (No. 216)
Unique sites:
1 Hf 0.000 0.000 0.000 [4 per cell]
2 Cr 0.250 0.250 0.250 [4 per cell]
3 Fe 0.250 0.250 0.750 [4 per cell]
4 Mo 0.000 0.000 0.500 [4 per cell]

***

Compound: CsTl3Te3
Source: the Alexandria database
Functional: PBE
Structure: optimized geometry

Calculated values
E_form (uncorrected), eV/atom: -0.277
Magnetic moment, μB/cell: 0.00

Cell lengths 8.929, 8.929, 8.929 Å; angles 90.00, 90.00, 90.00 degrees
Space group Pm-3n (No. 223)
Unique sites:
1 Cs 0.000 0.000 0.000 [2 per cell]
2 Tl 0.000 0.250 0.500 [6 per cell]
3 Te 0.000 0.500 0.250 [6 per cell]

***

Compound: SbBrCl2
Source: the Alexandria database
Functional: PBE
Structure: optimized geometry

Calculated values
E_form (uncorrected), eV/atom: -0.706
Magnetic moment, μB/cell: 0.00

Cell lengths 5.610, 13.514, 3.964 Å; angles 90.00, 90.00, 90.00 degrees
Space group Cmmm (No. 65)
Unique sites:
1 Sb 0.000 0.000 0.000 [2 per cell]
2 Br 0.000 0.500 0.000 [2 per cell]
3 Cl 0.000 0.135 0.500 [4 per cell]

***

Compound: Pr2NiSb4Pd3
Source: the Alexandria database
Functional: PBE
Structure: optimized geometry

Calculated values
E_form (uncorrected), eV/atom: -0.759
Magnetic moment, μB/cell: 0.00

Cell lengths 4.563, 4.563, 10.812 Å; angles 90.00, 90.00, 90.00 degrees
Space group P-4m2 (No. 115)
Unique sites:
1 Pr 0.000 0.500 0.232 [2 per cell]
2 Ni 0.500 0.500 0.000 [1 per cell]
3 Sb 0.000 0.000 0.500 [1 per cell]
4 Sb 0.000 0.500 0.878 [2 per cell]
5 Sb 0.500 0.500 0.500 [1 per cell]
6 Pd 0.000 0.000 0.000 [1 per cell]
7 Pd 0.000 0.500 0.636 [2 per cell]

***

Compound: Ba6TlPt3
Source: the Alexandria database
Functional: PBE
Structure: optimized geometry

Calculated values
ΔE_f, eV/atom: -0.59
Magnetic moment, μB/cell: 0.00

Cell lengths 13.343, 4.681, 13.686 Å; angles 90.00, 108.69, 90.00 degrees
Space group P2_1/m (No. 11)
Unique sites:
1 Ba 0.028 0.250 0.391 [2 per cell]
2 Ba 0.110 0.250 0.948 [2 per cell]
3 Ba 0.210 0.750 0.263 [2 per cell]
4 Ba 0.287 0.750 0.760 [2 per cell]
5 Ba 0.361 0.250 0.534 [2 per cell]
6 Ba 0.426 0.750 0.085 [2 per cell]
7 Tl 0.441 0.250 0.296 [2 per cell]
8 Pt 0.047 0.250 0.163 [2 per cell]
9 Pt 0.184 0.750 0.500 [2 per cell]
10 Pt 0.340 0.250 0.920 [2 per cell]